# GGA-PBE CaHo2Cu, optimized geometry
data_CaHo2Cu
_symmetry_space_group_name_H-M 'R -3 m'
_symmetry_Int_Tables_number 166
_symmetry_space_group_name_Hall '-R 3 2"'
_cell_length_a 3.7161
_cell_length_b 3.7161
_cell_length_c 30.0273
_cell_angle_alpha 90.00
_cell_angle_beta 90.00
_cell_angle_gamma 120.00
loop_
_atom_site_label
_atom_site_type_symbol
_atom_site_fract_x
_atom_site_fract_y
_atom_site_fract_z
Ca1 Ca 0.0000 0.0000 0.0000
Ho1 Ho 0.0000 0.0000 0.2281
Cu1 Cu 0.0000 0.0000 0.5000
# - raw total energy (eV per atom) = -3.745
# - calculated formation energy (kJ/mol of formula units) = 26
# - relative energy among the computed polymorphs (eV/atom) = 0.1215
# - size of the total moment (μB/f.u.) = 0.00
# - Fermi-level density of states (states/eV/f.u.) = 5.52



# GGA-PBE CaHoCu4, optimized geometry
data_CaHoCu4
_symmetry_space_group_name_H-M 'P 6/m m m'
_symmetry_Int_Tables_number 191
_symmetry_space_group_name_Hall '-P 6 2'
_cell_length_a 4.2141
_cell_length_b 4.2141
_cell_length_c 7.4934
_cell_angle_alpha 90.00
_cell_angle_beta 90.00
_cell_angle_gamma 120.00
loop_
_atom_site_label
_atom_site_type_symbol
_atom_site_fract_x
_atom_site_fract_y
_atom_site_fract_z
Ca1 Ca 0.0000 0.0000 0.0000
Ho1 Ho 0.0000 0.0000 0.5000
Cu1 Cu 0.3333 0.6667 0.2711
# - raw total energy (eV per atom) = -4.013
# - calculated formation energy (kJ/mol of formula units) = -108
# - relative energy among the computed polymorphs (eV/atom) = 0.0000
# - size of the total moment (μB/f.u.) = 0.00
# - Fermi-level density of states (states/eV/f.u.) = 3.50



# GGA-PBE CaHo2Cu9, optimized geometry
data_CaHo2Cu9
_symmetry_space_group_name_H-M 'R -3 m'
_symmetry_Int_Tables_number 166
_symmetry_space_group_name_Hall '-R 3 2"'
_cell_length_a 5.1661
_cell_length_b 5.1661
_cell_length_c 24.9324
_cell_angle_alpha 90.00
_cell_angle_beta 90.00
_cell_angle_gamma 120.00
loop_
_atom_site_label
_atom_site_type_symbol
_atom_site_fract_x
_atom_site_fract_y
_atom_site_fract_z
Ca1 Ca 0.0000 0.0000 0.0000
Ho1 Ho 0.0000 0.0000 0.1410
Cu1 Cu 0.0000 0.0000 0.3325
Cu2 Cu 0.0000 0.0000 0.5000
Cu3 Cu 0.9995 0.4998 0.0826
# - raw total energy (eV per atom) = -4.176
# - calculated formation energy (kJ/mol of formula units) = -202
# - size of the total moment (μB/f.u.) = 0.00
# - Fermi-level density of states (states/eV/f.u.) = 6.93



# GGA-PBE CaHo4Cu5, optimized geometry
data_CaHo4Cu5
_symmetry_space_group_name_H-M 'P 4/m m m'
_symmetry_Int_Tables_number 123
_symmetry_space_group_name_Hall '-P 4 2'
_cell_length_a 3.452
_cell_length_b 3.452
_cell_length_c 17.575
_cell_angle_alpha 90.00
_cell_angle_beta 90.00
_cell_angle_gamma 90.00
loop_
_atom_site_label
_atom_site_type_symbol
_atom_site_fract_x
_atom_site_fract_y
_atom_site_fract_z
Ca1 Ca 0.000 0.000 0.000
Ho1 Ho 0.000 0.000 0.203
Ho2 Ho 0.000 0.000 0.401
Cu1 Cu 0.500 0.500 0.113
Cu2 Cu 0.500 0.500 0.302
Cu3 Cu 0.500 0.500 0.500
# - raw total energy (eV per atom) = -4.309
# - calculated formation energy (kJ/mol of formula units) = -222
# - size of the total moment (μB/f.u.) = 0.00
# - Fermi-level density of states (states/eV/f.u.) = 4.71



# GGA-PBE CaHo5Cu4, optimized geometry
data_CaHo5Cu4
_symmetry_space_group_name_H-M 'P 4/m m m'
_symmetry_Int_Tables_number 123
_symmetry_space_group_name_Hall '-P 4 2'
_cell_length_a 3.473
_cell_length_b 3.473
_cell_length_c 19.484
_cell_angle_alpha 90.00
_cell_angle_beta 90.00
_cell_angle_gamma 90.00
loop_
_atom_site_label
_atom_site_type_symbol
_atom_site_fract_x
_atom_site_fract_y
_atom_site_fract_z
Ca1 Ca 0.000 0.000 0.000
Ho1 Ho 0.500 0.500 0.150
Ho2 Ho 0.500 0.500 0.323
Ho3 Ho 0.500 0.500 0.500
Cu1 Cu 0.000 0.000 0.233
Cu2 Cu 0.000 0.000 0.412
# - raw total energy (eV per atom) = -4.301
# - calculated formation energy (kJ/mol of formula units) = -167
# - size of the total moment (μB/f.u.) = 0.00
# - Fermi-level density of states (states/eV/f.u.) = 8.94



# GGA-PBE CaHoInCu, optimized geometry
data_CaHoInCu
_symmetry_space_group_name_H-M 'F -4 3 m'
_symmetry_Int_Tables_number 216
_symmetry_space_group_name_Hall 'F -4 2 3'
_cell_length_a 7.332
_cell_length_b 7.332
_cell_length_c 7.332
_cell_angle_alpha 90.00
_cell_angle_beta 90.00
_cell_angle_gamma 90.00
loop_
_atom_site_label
_atom_site_type_symbol
_atom_site_fract_x
_atom_site_fract_y
_atom_site_fract_z
Ca1 Ca 0.000 0.000 0.000
Ho1 Ho 0.000 0.000 0.500
In1 In 0.250 0.250 0.250
Cu1 Cu 0.250 0.250 0.750
# - raw total energy (eV per atom) = -3.617
# - calculated formation energy (kJ/mol of formula units) = -102
# - size of the total moment (μB/f.u.) = 0.00
# - Fermi-level density of states (states/eV/f.u.) = 3.52



# GGA-PBE CaHoCuIr, optimized geometry
data_CaHoCuIr
_symmetry_space_group_name_H-M 'F -4 3 m'
_symmetry_Int_Tables_number 216
_symmetry_space_group_name_Hall 'F -4 2 3'
_cell_length_a 6.871
_cell_length_b 6.871
_cell_length_c 6.871
_cell_angle_alpha 90.00
_cell_angle_beta 90.00
_cell_angle_gamma 90.00
loop_
_atom_site_label
_atom_site_type_symbol
_atom_site_fract_x
_atom_site_fract_y
_atom_site_fract_z
Ca1 Ca 0.000 0.000 0.000
Ho1 Ho 0.000 0.000 0.500
Cu1 Cu 0.250 0.250 0.250
Ir1 Ir 0.250 0.250 0.750
# - raw total energy (eV per atom) = -5.279
# - calculated formation energy (kJ/mol of formula units) = -152
# - size of the total moment (μB/f.u.) = 0.00
# - Fermi-level density of states (states/eV/f.u.) = 2.97



# GGA-PBE CaHoMgCu, optimized geometry
data_CaHoMgCu
_symmetry_space_group_name_H-M 'F -4 3 m'
_symmetry_Int_Tables_number 216
_symmetry_space_group_name_Hall 'F -4 2 3'
_cell_length_a 7.336
_cell_length_b 7.336
_cell_length_c 7.336
_cell_angle_alpha 90.00
_cell_angle_beta 90.00
_cell_angle_gamma 90.00
loop_
_atom_site_label
_atom_site_type_symbol
_atom_site_fract_x
_atom_site_fract_y
_atom_site_fract_z
Ca1 Ca 0.000 0.000 0.000
Ho1 Ho 0.000 0.000 0.500
Mg1 Mg 0.250 0.250 0.750
Cu1 Cu 0.250 0.250 0.250
# - raw total energy (eV per atom) = -3.073
# - calculated formation energy (kJ/mol of formula units) = -2
# - size of the total moment (μB/f.u.) = 0.00
# - Fermi-level density of states (states/eV/f.u.) = 3.13



# GGA-PBE Ca2HoCuO4, optimized geometry
data_Ca2HoCuO4
_symmetry_space_group_name_H-M 'P 1 2/m 1'
_symmetry_Int_Tables_number 10
_symmetry_space_group_name_Hall '-P 2y'
_cell_length_a 5.748
_cell_length_b 3.384
_cell_length_c 5.847
_cell_angle_alpha 90.00
_cell_angle_beta 110.04
_cell_angle_gamma 90.00
loop_
_atom_site_label
_atom_site_type_symbol
_atom_site_fract_x
_atom_site_fract_y
_atom_site_fract_z
Ca1 Ca 0.000 0.000 0.000
Ca2 Ca 0.500 0.500 0.000
Ho1 Ho 0.000 0.500 0.500
Cu1 Cu 0.500 0.000 0.500
O1 O 0.229 0.000 0.746
O2 O 0.238 0.500 0.252
# - raw total energy (eV per atom) = -6.555
# - formation energy from raw total energies (kJ per mole of atoms) = -240.4
# - size of the total moment (μB/f.u.) = 0.07



# GGA-PBE CaHoCuPt, optimized geometry
data_CaHoCuPt
_symmetry_space_group_name_H-M 'A m m 2'
_symmetry_Int_Tables_number 38
_symmetry_space_group_name_Hall 'A 2 -2'
_cell_length_a 4.259
_cell_length_b 3.887
_cell_length_c 10.908
_cell_angle_alpha 90.00
_cell_angle_beta 90.00
_cell_angle_gamma 90.00
loop_
_atom_site_label
_atom_site_type_symbol
_atom_site_fract_x
_atom_site_fract_y
_atom_site_fract_z
Ca1 Ca 0.000 0.000 0.000
Ho1 Ho 0.500 0.000 0.720
Cu1 Cu 0.500 0.000 0.425
Pt1 Pt 0.000 0.000 0.278
# - raw total energy (eV per atom) = -4.877
# - calculated formation energy (kJ/mol of formula units) = -270
# - relative energy among the computed polymorphs (eV/atom) = 0.0000
# - size of the total moment (μB/f.u.) = 0.00
# - Fermi-level density of states (states/eV/f.u.) = 2.58



# GGA-PBE CaHoCuPt, optimized geometry
data_CaHoCuPt
_symmetry_space_group_name_H-M 'F -4 3 m'
_symmetry_Int_Tables_number 216
_symmetry_space_group_name_Hall 'F -4 2 3'
_cell_length_a 6.961
_cell_length_b 6.961
_cell_length_c 6.961
_cell_angle_alpha 90.00
_cell_angle_beta 90.00
_cell_angle_gamma 90.00
loop_
_atom_site_label
_atom_site_type_symbol
_atom_site_fract_x
_atom_site_fract_y
_atom_site_fract_z
Ca1 Ca 0.000 0.000 0.000
Ho1 Ho 0.000 0.000 0.500
Cu1 Cu 0.250 0.250 0.250
Pt1 Pt 0.250 0.250 0.750
# - raw total energy (eV per atom) = -4.818
# - calculated formation energy (kJ/mol of formula units) = -247
# - relative energy among the computed polymorphs (eV/atom) = 0.0595
# - size of the total moment (μB/f.u.) = 0.00
# - Fermi-level density of states (states/eV/f.u.) = 2.06



# GGA-PBE CaHoCuRh, optimized geometry
data_CaHoCuRh
_symmetry_space_group_name_H-M 'F -4 3 m'
_symmetry_Int_Tables_number 216
_symmetry_space_group_name_Hall 'F -4 2 3'
_cell_length_a 6.892
_cell_length_b 6.892
_cell_length_c 6.892
_cell_angle_alpha 90.00
_cell_angle_beta 90.00
_cell_angle_gamma 90.00
loop_
_atom_site_label
_atom_site_type_symbol
_atom_site_fract_x
_atom_site_fract_y
_atom_site_fract_z
Ca1 Ca 0.000 0.000 0.000
Ho1 Ho 0.000 0.000 0.500
Cu1 Cu 0.250 0.250 0.750
Rh1 Rh 0.250 0.250 0.250
# - raw total energy (eV per atom) = -4.903
# - calculated formation energy (kJ/mol of formula units) = -153
# - size of the total moment (μB/f.u.) = 0.00
# - Fermi-level density of states (states/eV/f.u.) = 2.83